Below is a relaxed structure of CeRh4, with properties calculated at the PBE-GGA level.

a b c (Å): 4.7588 4.7588 4.7588
angles (deg): 90.00 90.00 90.00
Last column: nearest neighbours and their distance in Å.
Atoms (fractional coordinates):
Rh 0.0000 0.0000 0.0000  12 Rh 3.36
Rh 0.5000 0.0000 0.5000  2 Ce 2.38
Rh 0.0000 0.5000 0.5000  2 Ce 2.38
Rh 0.5000 0.5000 0.0000  2 Ce 2.38
Ce 0.5000 0.5000 0.5000  6 Rh 2.38

## Properties
Its energy of formation from the pure elements is 1007 meV per atom. For the calculated density, the calculation gives 8.5 Mg/m³. The calculation puts the density of states at the Fermi level at 7.5 states/eV/f.u.